No. 1
Density functional theory data (GGA-PBE) for an optimized crystal structure of PmPuTl.

Cell and atoms, written as POSCAR:
```
PmPuTl
1.0
0.0000 3.7440 3.7440
3.7440 0.0000 3.7440
3.7440 3.7440 0.0000
Pm Pu Tl
1 1 1
Direct
0.2500 0.2500 0.2500
0.7500 0.7500 0.7500
0.0000 0.0000 0.0000
```

SG = F-43m
E above lowest polymorph = 0.000 eV/atom
Total moment = 6.6 Bohr magnetons per cell

***

No. 2
Density functional theory data (GGA-PBE) for an optimized crystal structure of PmPuU.

Cell and atoms, written as POSCAR:
```
PmPuU
1.0
-2.1112 -4.3136 1.4816
0.3664 -1.4602 4.7951
-4.0559 0.0763 2.9670
Pm Pu U
1 1 1
Direct
0.2500 0.2500 0.2500
0.7500 0.7500 0.7500
0.0000 0.0000 0.0000
```

SG = F-43m
E above lowest polymorph = 0.000 eV/atom
Formation enthalpy at 0 K = 1011.2 meV per atom
Total moment = 9.2 Bohr magnetons per cell

***

No. 3
Density functional theory data (GGA-PBE) for an optimized crystal structure of PmYPu.

Cell and atoms, written as POSCAR:
```
PmYPu
1.0
-2.8773 -0.1399 4.5320
-5.3279 0.6465 -0.1811
-3.2450 -4.1619 0.9929
Pm Pu Y
1 1 1
Direct
0.7500 0.7500 0.7500
0.0000 0.0000 0.0000
0.2500 0.2500 0.2500
```

SG = F-43m
E above lowest polymorph = 0.000 eV/atom
Formation enthalpy at 0 K = 791.8 meV per atom
Total moment = 6.7 Bohr magnetons per cell

***

No. 4
Density functional theory data (GGA-PBE) for an optimized crystal structure of PmPuZr.

Cell and atoms, written as POSCAR:
```
PmPuZr
1.0
2.7813 0.9594 3.9868
-1.7388 2.9483 3.5825
-1.2351 -1.9124 4.4009
Pm Pu Zr
1 1 1
Direct
0.5000 0.5000 0.5000
0.2500 0.2500 0.2500
0.0000 0.0000 0.0000
```

SG = F-43m
Formation enthalpy at 0 K = 913.3 meV per atom
Total moment = 7.2 Bohr magnetons per cell

***

No. 5
Density functional theory data (GGA-PBE) for an optimized crystal structure of RbPm.

Cell and atoms, written as POSCAR:
```
RbPm
1.0
0.0000 3.6517 3.6517
3.6517 0.0000 3.6517
3.6517 3.6517 0.0000
Pm Rb
1 1
Direct
0.0000 0.0000 0.0000
0.5000 0.5000 0.5000
```

SG = Fm-3m
Total moment = 0.0 Bohr magnetons per cell

***

No. 6
Density functional theory data (GGA-PBE) for an optimized crystal structure of RbPm.

Cell and atoms, written as POSCAR:
```
RbPm
1.0
0.0000 4.4752 4.4752
4.4752 0.0000 4.4752
4.4752 4.4752 0.0000
Pm Rb
1 1
Direct
0.0000 0.0000 0.0000
0.2500 0.2500 0.2500
```

SG = F-43m
Total moment = 2.0 Bohr magnetons per cell

***

No. 7
Density functional theory data (GGA-PBE) for an optimized crystal structure of RbPm.

Cell and atoms, written as POSCAR:
```
RbPm
1.0
-0.9219 1.1048 -3.5037
-2.6165 -1.5783 2.2381
-1.8324 6.7317 2.6049
Pm Rb
1 1
Direct
0.6667 0.3333 0.7500
0.3333 0.6667 0.2500
```

SG = P-6m2
Total moment = 0.0 Bohr magnetons per cell

***

No. 8
Density functional theory data (GGA-PBE) for an optimized crystal structure of RbPmRe.

Cell and atoms, written as POSCAR:
```
RbPmRe
1.0
4.8404 -1.5763 -0.1755
1.3240 -4.4072 2.1837
1.2745 -3.9940 -2.8929
Pm Rb Re
1 1 1
Direct
0.0000 0.0000 0.0000
0.2500 0.2500 0.2500
0.7500 0.7500 0.7500
```

SG = F-43m
Total moment = 1.2 Bohr magnetons per cell

***

No. 9
Density functional theory data (GGA-PBE) for an optimized crystal structure of Rb3PmSc.

Cell and atoms, written as POSCAR:
```
Rb3PmSc
1.0
6.7038 0.0000 0.0000
-3.3519 5.8057 0.0000
0.0000 0.0000 12.7342
Pm Rb Sc
2 6 2
Direct
0.6667 0.3333 0.5000
0.3333 0.6667 0.5000
0.6484 0.0000 0.1701
0.3516 0.3516 0.1701
0.0000 0.6484 0.1701
0.3516 0.0000 0.8299
0.0000 0.3516 0.8299
0.6484 0.6484 0.8299
0.0000 0.0000 0.3999
0.0000 0.0000 0.6001
```

SG = P-31m
Total moment = 1.4 Bohr magnetons per cell

***

No. 10
Density functional theory data (GGA-PBE) for an optimized crystal structure of RbPmSc.

Cell and atoms, written as POSCAR:
```
RbPmSc
1.0
0.0000 4.1478 4.1478
4.1478 0.0000 4.1478
4.1478 4.1478 0.0000
Pm Rb Sc
1 1 1
Direct
0.2500 0.2500 0.2500
0.7500 0.7500 0.7500
0.0000 0.0000 0.0000
```

SG = F-43m
Total moment = 3.2 Bohr magnetons per cell

***

No. 11
Density functional theory data (GGA-PBE) for an optimized crystal structure of RbPm2Se2.

Cell and atoms, written as POSCAR:
```
RbPm2Se2
1.0
-3.4447 -5.0806 -1.0511
-5.0323 1.3865 3.3965
2.5823 3.6280 -4.3534
Pm Rb Se
2 1 2
Direct
0.5000 0.0000 0.5000
0.0000 0.5000 0.5000
0.0000 0.0000 0.0000
0.3279 0.3279 0.0000
0.6721 0.6721 0.0000
```

SG = I4/mmm
Total moment = 1.3 Bohr magnetons per cell

***

No. 12
Density functional theory data (GGA-PBE) for an optimized crystal structure of RbPmSi.

Cell and atoms, written as POSCAR:
```
RbPmSi
1.0
0.0000 3.7675 3.7675
3.7675 0.0000 3.7675
3.7675 3.7675 0.0000
Pm Rb Si
1 1 1
Direct
0.2500 0.2500 0.2500
0.7500 0.7500 0.7500
0.0000 0.0000 0.0000
```

SG = F-43m
E above lowest polymorph = 0.000 eV/atom
Total moment = 0.0 Bohr magnetons per cell

***

No. 13
Density functional theory data (GGA-PBE) for an optimized crystal structure of RbPmSm.

Cell and atoms, written as POSCAR:
```
RbPmSm
1.0
0.0000 4.3023 4.3023
4.3023 0.0000 4.3023
4.3023 4.3023 0.0000
Pm Rb Sm
1 1 1
Direct
0.2500 0.2500 0.2500
0.7500 0.7500 0.7500
0.0000 0.0000 0.0000
```

SG = F-43m
Total moment = 3.1 Bohr magnetons per cell

***

No. 14
Density functional theory data (GGA-PBE) for an optimized crystal structure of RbPmTc.

Cell and atoms, written as POSCAR:
```
RbPmTc
1.0
0.0000 3.6202 3.6202
3.6202 0.0000 3.6202
3.6202 3.6202 0.0000
Pm Rb Tc
1 1 1
Direct
0.0000 0.0000 0.0000
0.2500 0.2500 0.2500
0.7500 0.7500 0.7500
```

SG = F-43m
Total moment = 1.1 Bohr magnetons per cell

***

No. 15
Density functional theory data (GGA-PBE) for an optimized crystal structure of RbPmTe2.

Cell and atoms, written as POSCAR:
```
RbPmTe2
1.0
8.3970 -2.6887 1.6794
8.8609 1.2015 -0.7740
8.0224 1.4187 3.7666
Pm Rb Te
1 1 2
Direct
0.0000 0.0000 0.0000
0.5000 0.5000 0.5000
0.2654 0.2654 0.2654
0.7346 0.7346 0.7346
```

SG = R-3m
Total moment = 0.0 Bohr magnetons per cell

***

No. 16
Density functional theory data (GGA-PBE) for an optimized crystal structure of RbPmTh.

Cell and atoms, written as POSCAR:
```
RbPmTh
1.0
-0.7510 -5.4732 -1.7856
-3.6342 -1.1522 -4.3787
2.0959 -1.6887 -5.1443
Pm Rb Th
1 1 1
Direct
0.0000 0.0000 0.0000
0.2500 0.2500 0.2500
0.7500 0.7500 0.7500
```

SG = F-43m
E above lowest polymorph = 0.000 eV/atom
Total moment = 1.7 Bohr magnetons per cell

***

No. 17
Density functional theory data (GGA-PBE) for an optimized crystal structure of RbPmU.

Cell and atoms, written as POSCAR:
```
RbPmU
1.0
-3.0267 -5.0835 -0.0784
-5.2990 -0.3287 2.6119
-4.8950 -0.4782 -3.2893
Pm Rb U
1 1 1
Direct
0.2500 0.2500 0.2500
0.7500 0.7500 0.7500
0.0000 0.0000 0.0000
```

SG = F-43m
Total moment = 6.7 Bohr magnetons per cell

***

No. 18
Density functional theory data (GGA-PBE) for an optimized crystal structure of RbPmW.

Cell and atoms, written as POSCAR:
```
RbPmW
1.0
0.0000 3.7449 3.7449
3.7449 0.0000 3.7449
3.7449 3.7449 0.0000
Pm Rb W
1 1 1
Direct
0.0000 0.0000 0.0000
0.2500 0.2500 0.2500
0.7500 0.7500 0.7500
```

SG = F-43m
Total moment = 3.8 Bohr magnetons per cell

***

No. 19
Density functional theory data (GGA-PBE) for an optimized crystal structure of PmRe.

Cell and atoms, written as POSCAR:
```
PmRe
1.0
0.0000 2.9528 2.9528
2.9528 0.0000 2.9528
2.9528 2.9528 0.0000
Pm Re
1 1
Direct
0.0000 0.0000 0.0000
0.5000 0.5000 0.5000
```

SG = Fm-3m
E above lowest polymorph = 0.498 eV/atom
Formation enthalpy at 0 K = 1481.4 meV per atom
Total moment = 2.0 Bohr magnetons per cell

***

No. 20
Density functional theory data (GGA-PBE) for an optimized crystal structure of PmRe2.

Cell and atoms, written as POSCAR:
```
PmRe2
1.0
-2.9322 -4.4547 1.2698
0.1726 -2.0370 5.0868
-4.3721 0.4389 3.2783
Pm Re
2 4
Direct
0.0000 0.0000 0.0000
0.2500 0.2500 0.2500
0.6250 0.6250 0.1250
0.6250 0.1250 0.6250
0.1250 0.6250 0.6250
0.6250 0.6250 0.6250
```

SG = Fd-3m
Formation enthalpy at 0 K = 0.2 meV per atom
Total moment = 0.0 Bohr magnetons per cell

***

| no. | uncorrected energy (eV/atom) |
| --- | --- |
| 1 | -6.915 |
| 2 | -9.045 |
| 3 | -7.654 |
| 4 | -8.226 |
| 5 | -1.618 |
| 6 | -1.019 |
| 7 | -2.313 |
| 8 | -4.090 |
| 9 | -2.158 |
| 10 | -2.804 |
| 11 | -3.421 |
| 12 | -3.452 |
| 13 | -2.267 |
| 14 | -3.684 |
| 15 | -4.408 |
| 16 | -2.944 |
| 17 | -3.709 |
| 18 | -4.031 |
| 19 | -7.103 |
| 20 | -9.863 |